Computed, not measured: Pr2Sm8Er after structural relaxation at the PBE-GGA level of DFT.

```
data_Pr2Sm8Er
_symmetry_space_group_name_H-M 'P 1'
_symmetry_Int_Tables_number 1
_cell_length_a 6.802
_cell_length_b 10.315
_cell_length_c 10.315
_cell_angle_alpha 38.53
_cell_angle_beta 59.50
_cell_angle_gamma 59.50
loop_
_symmetry_equiv_pos_as_xyz
'x,y,z'
loop_
_atom_site_label
_atom_site_type_symbol
_atom_site_fract_x
_atom_site_fract_y
_atom_site_fract_z
Sm1 Sm 0.771 0.176 0.650
Sm2 Sm 0.268 0.410 0.410
Sm3 Sm 0.229 0.350 0.824
Sm4 Sm 0.732 0.590 0.590
Sm5 Sm 0.771 0.650 0.176
Sm6 Sm 0.823 0.244 0.244
Sm7 Sm 0.177 0.756 0.756
Pr1 Pr 0.590 0.804 0.804
Er1 Er 0.000 0.000 0.000
Pr2 Pr 0.410 0.196 0.196
Sm8 Sm 0.229 0.824 0.350
```

## Properties
theoretical density: 7.22 Mg/m³
space-group type: C2/m, No. 12
D(E_F): 17.32 states/eV per cell
calculated formation energy: 0.1526 eV/atom


Computed, not measured: TiInBr4 after structural relaxation at the PBE-GGA level of DFT.

```
data_TiInBr4
_symmetry_space_group_name_H-M 'P 1'
_symmetry_Int_Tables_number 1
_cell_length_a 3.928
_cell_length_b 7.084
_cell_length_c 8.039
_cell_angle_alpha 105.93
_cell_angle_beta 89.98
_cell_angle_gamma 106.06
loop_
_symmetry_equiv_pos_as_xyz
'x,y,z'
loop_
_atom_site_label
_atom_site_type_symbol
_atom_site_fract_x
_atom_site_fract_y
_atom_site_fract_z
Br1 Br 0.391 0.782 0.083
Br2 Br 0.121 0.243 0.305
Ti1 Ti 0.000 0.000 0.000
In1 In 0.500 0.000 0.500
Br3 Br 0.879 0.757 0.695
Br4 Br 0.609 0.218 0.917
```

## Properties
energy above the lowest structure with this stoichiometry: 0 meV per atom
theoretical density: 3.89 Mg/m³
space-group type: C2/m, No. 12
E_form (uncorrected): -0.99 eV/atom
D(E_F): 3.34 states/eV per cell


Computed, not measured: HfHgN3 after structural relaxation at the PBE-GGA level of DFT.

```
data_HfHgN3
_symmetry_space_group_name_H-M 'P 1'
_symmetry_Int_Tables_number 1
_cell_length_a 4.030
_cell_length_b 4.030
_cell_length_c 4.030
_cell_angle_alpha 90.00
_cell_angle_beta 90.00
_cell_angle_gamma 90.00
loop_
_symmetry_equiv_pos_as_xyz
'x,y,z'
loop_
_atom_site_label
_atom_site_type_symbol
_atom_site_fract_x
_atom_site_fract_y
_atom_site_fract_z
N1 N 0.500 0.000 0.000
N2 N 0.000 0.000 0.500
N3 N 0.000 0.500 0.000
Hf1 Hf 0.500 0.500 0.500
Hg1 Hg 0.000 0.000 0.000
```

## Properties
theoretical density: 10.68 Mg/m³
space-group type: Pm-3m, No. 221
E_form (uncorrected): 1.77 eV/atom
D(E_F): 2.10 states/eV per cell


Computed, not measured: KCoP2 after structural relaxation at the PBE-GGA level of DFT.

```
data_KCoP2
_symmetry_space_group_name_H-M 'P 1'
_symmetry_Int_Tables_number 1
_cell_length_a 3.295
_cell_length_b 3.556
_cell_length_c 6.553
_cell_angle_alpha 90.03
_cell_angle_beta 90.00
_cell_angle_gamma 90.00
loop_
_symmetry_equiv_pos_as_xyz
'x,y,z'
loop_
_atom_site_label
_atom_site_type_symbol
_atom_site_fract_x
_atom_site_fract_y
_atom_site_fract_z
P1 P 0.500 0.125 0.341
K1 K 0.500 0.625 0.769
P2 P 0.000 0.125 0.095
Co1 Co 0.000 0.625 0.295
```

## Properties
energy above the lowest structure with this stoichiometry: 205 meV per atom
theoretical density: 3.46 Mg/m³
space-group type: Pmm2, No. 25
D(E_F): 2.03 states/eV per cell
calculated formation energy: -0.1351 eV/atom


Computed, not measured: Ac2ThTeO8 after structural relaxation at the PBE-GGA level of DFT.

```
data_Ac2ThTeO8
_symmetry_space_group_name_H-M 'P 1'
_symmetry_Int_Tables_number 1
_cell_length_a 5.354
_cell_length_b 5.374
_cell_length_c 7.251
_cell_angle_alpha 90.00
_cell_angle_beta 90.00
_cell_angle_gamma 91.63
loop_
_symmetry_equiv_pos_as_xyz
'x,y,z'
loop_
_atom_site_label
_atom_site_type_symbol
_atom_site_fract_x
_atom_site_fract_y
_atom_site_fract_z
O1 O 0.742 0.743 0.000
Te1 Te 0.000 0.000 0.000
O2 O 0.830 0.171 0.210
O3 O 0.258 0.257 0.000
Th1 Th 0.000 0.000 0.500
Ac1 Ac 0.500 0.500 0.761
O4 O 0.170 0.829 0.210
O5 O 0.830 0.171 0.790
O6 O 0.703 0.704 0.500
Ac2 Ac 0.500 0.500 0.239
O7 O 0.170 0.829 0.790
O8 O 0.297 0.296 0.500
```

## Properties
theoretical density: 7.50 Mg/m³
space-group type: P2/m, No. 10
E_form (uncorrected): -2.66 eV/atom
D(E_F): 0.00 states/eV per cell


Computed, not measured: GeBN2O after structural relaxation at the PBE-GGA level of DFT.

```
data_GeBN2O
_symmetry_space_group_name_H-M 'P 1'
_symmetry_Int_Tables_number 1
_cell_length_a 3.063
_cell_length_b 3.063
_cell_length_c 5.870
_cell_angle_alpha 90.00
_cell_angle_beta 90.00
_cell_angle_gamma 90.00
loop_
_symmetry_equiv_pos_as_xyz
'x,y,z'
loop_
_atom_site_label
_atom_site_type_symbol
_atom_site_fract_x
_atom_site_fract_y
_atom_site_fract_z
O1 O 0.000 0.000 0.500
N1 N 0.500 0.000 0.000
B1 B 0.000 0.000 0.000
N2 N 0.000 0.500 0.000
Ge1 Ge 0.500 0.500 0.500
```

## Properties
theoretical density: 3.84 Mg/m³
space-group type: P4/mmm, No. 123
E_form (uncorrected): 0.56 eV/atom
D(E_F): 1.51 states/eV per cell


Computed, not measured: PuCoTe after structural relaxation at the PBE-GGA level of DFT.

```
data_PuCoTe
_symmetry_space_group_name_H-M 'P 1'
_symmetry_Int_Tables_number 1
_cell_length_a 4.347
_cell_length_b 8.260
_cell_length_c 4.683
_cell_angle_alpha 51.24
_cell_angle_beta 90.00
_cell_angle_gamma 105.26
loop_
_symmetry_equiv_pos_as_xyz
'x,y,z'
loop_
_atom_site_label
_atom_site_type_symbol
_atom_site_fract_x
_atom_site_fract_y
_atom_site_fract_z
Pu1 Pu 0.094 0.187 0.064
Te1 Te 0.368 0.735 0.543
Co1 Co 0.761 0.521 0.650
Pu2 Pu 0.906 0.813 0.936
Co2 Co 0.239 0.479 0.350
Te2 Te 0.632 0.265 0.457
```

## Properties
theoretical density: 11.59 Mg/m³
space-group type: C2/m, No. 12
E_form (uncorrected): -0.36 eV/atom
D(E_F): 15.51 states/eV per cell


Computed, not measured: La2PrIn after structural relaxation at the PBE-GGA level of DFT.

```
data_La2PrIn
_symmetry_space_group_name_H-M 'P 1'
_symmetry_Int_Tables_number 1
_cell_length_a 3.744
_cell_length_b 3.744
_cell_length_c 9.655
_cell_angle_alpha 90.00
_cell_angle_beta 90.00
_cell_angle_gamma 90.00
loop_
_symmetry_equiv_pos_as_xyz
'x,y,z'
loop_
_atom_site_label
_atom_site_type_symbol
_atom_site_fract_x
_atom_site_fract_y
_atom_site_fract_z
La1 La 0.000 0.000 0.225
In1 In 0.500 0.500 0.000
Pr1 Pr 0.500 0.500 0.500
La2 La 0.000 0.000 0.775
```

## Properties
energy above the lowest structure with this stoichiometry: 65 meV per atom
theoretical density: 6.54 Mg/m³
space-group type: P4/mmm, No. 123
D(E_F): 4.09 states/eV per cell
calculated formation energy: -0.2292 eV/atom


Computed, not measured: Te2PtI after structural relaxation at the PBE-GGA level of DFT.

```
data_Te2PtI
_symmetry_space_group_name_H-M 'P 1'
_symmetry_Int_Tables_number 1
_cell_length_a 9.062
_cell_length_b 9.062
_cell_length_c 9.062
_cell_angle_alpha 26.61
_cell_angle_beta 26.61
_cell_angle_gamma 26.61
loop_
_symmetry_equiv_pos_as_xyz
'x,y,z'
loop_
_atom_site_label
_atom_site_type_symbol
_atom_site_fract_x
_atom_site_fract_y
_atom_site_fract_z
Pt1 Pt 0.500 0.500 0.500
Te1 Te 0.116 0.116 0.116
Te2 Te 0.884 0.884 0.884
I1 I 0.000 0.000 0.000
```

## Properties
theoretical density: 7.28 Mg/m³
space-group type: R-3m, No. 166
E_form (uncorrected): -0.27 eV/atom
D(E_F): 1.29 states/eV per cell


Computed, not measured: Na2MgGa3Au4 after structural relaxation at the PBE-GGA level of DFT.

```
data_Na2MgGa3Au4
_symmetry_space_group_name_H-M 'P 1'
_symmetry_Int_Tables_number 1
_cell_length_a 4.475
_cell_length_b 4.475
_cell_length_c 10.805
_cell_angle_alpha 90.00
_cell_angle_beta 90.00
_cell_angle_gamma 90.00
loop_
_symmetry_equiv_pos_as_xyz
'x,y,z'
loop_
_atom_site_label
_atom_site_type_symbol
_atom_site_fract_x
_atom_site_fract_y
_atom_site_fract_z
Na1 Na 0.500 0.000 0.236
Mg1 Mg 0.500 0.500 0.500
Ga1 Ga 0.000 0.000 0.500
Au1 Au 0.000 0.000 0.000
Au2 Au 0.500 0.000 0.639
Au3 Au 0.500 0.500 0.000
Au4 Au 0.000 0.500 0.361
Ga2 Ga 0.000 0.500 0.127
Ga3 Ga 0.500 0.000 0.873
Na2 Na 0.000 0.500 0.764
```

## Properties
theoretical density: 8.19 Mg/m³
space-group type: P-4m2, No. 115
D(E_F): 3.52 states/eV per cell
calculated formation energy: -0.3497 eV/atom


Computed, not measured: BeFe2Os after structural relaxation at the PBE-GGA level of DFT.

```
data_BeFe2Os
_symmetry_space_group_name_H-M 'P 1'
_symmetry_Int_Tables_number 1
_cell_length_a 8.116
_cell_length_b 8.116
_cell_length_c 8.116
_cell_angle_alpha 18.61
_cell_angle_beta 18.61
_cell_angle_gamma 18.61
loop_
_symmetry_equiv_pos_as_xyz
'x,y,z'
loop_
_atom_site_label
_atom_site_type_symbol
_atom_site_fract_x
_atom_site_fract_y
_atom_site_fract_z
Os1 Os 0.503 0.503 0.503
Fe1 Fe 0.749 0.749 0.749
Fe2 Fe 0.996 0.996 0.996
Be1 Be 0.252 0.252 0.252
```

## Properties
theoretical density: 10.86 Mg/m³
space-group type: R3m, No. 160
D(E_F): 3.45 states/eV per cell
calculated formation energy: 0.1224 eV/atom


Computed, not measured: GdDyCdBi after structural relaxation at the PBE-GGA level of DFT.

```
data_GdDyCdBi
_symmetry_space_group_name_H-M 'P 1'
_symmetry_Int_Tables_number 1
_cell_length_a 5.418
_cell_length_b 5.418
_cell_length_c 5.418
_cell_angle_alpha 60.00
_cell_angle_beta 60.00
_cell_angle_gamma 60.00
loop_
_symmetry_equiv_pos_as_xyz
'x,y,z'
loop_
_atom_site_label
_atom_site_type_symbol
_atom_site_fract_x
_atom_site_fract_y
_atom_site_fract_z
Gd1 Gd 0.000 0.000 0.000
Cd1 Cd 0.750 0.750 0.750
Dy1 Dy 0.500 0.500 0.500
Bi1 Bi 0.250 0.250 0.250
```

## Properties
theoretical density: 9.47 Mg/m³
space-group type: F-43m, No. 216
D(E_F): 3.67 states/eV per cell
calculated formation energy: -0.4427 eV/atom


Computed, not measured: CaPm8Sm5 after structural relaxation at the PBE-GGA level of DFT.

```
data_CaPm8Sm5
_symmetry_space_group_name_H-M 'P 1'
_symmetry_Int_Tables_number 1
_cell_length_a 8.662
_cell_length_b 8.662
_cell_length_c 8.662
_cell_angle_alpha 110.98
_cell_angle_beta 106.49
_cell_angle_gamma 110.98
loop_
_symmetry_equiv_pos_as_xyz
'x,y,z'
loop_
_atom_site_label
_atom_site_type_symbol
_atom_site_fract_x
_atom_site_fract_y
_atom_site_fract_z
Pm1 Pm 0.572 0.914 0.833
Pm2 Pm 0.528 0.603 0.277
Sm1 Sm 0.865 0.900 0.181
Pm3 Pm 0.723 0.252 0.327
Sm2 Sm 0.819 0.684 0.718
Sm3 Sm 0.035 0.316 0.135
Pm4 Pm 0.673 0.397 0.925
Pm5 Pm 0.075 0.748 0.472
Ca1 Ca 0.250 0.500 0.750
Pm6 Pm 0.167 0.739 0.080
Sm4 Sm 0.282 0.100 0.965
Pm7 Pm 0.342 0.261 0.428
Pm8 Pm 0.920 0.086 0.658
Sm5 Sm 0.500 0.000 0.500
```

## Properties
theoretical density: 6.49 Mg/m³
space-group type: I-4, No. 82
D(E_F): 20.57 states/eV per cell
calculated formation energy: 0.2291 eV/atom